# NaSrRe2

Crystalline NaSrRe2 at its relaxed geometry (PBE, Alexandria).

Summary:
DOS at the Fermi energy = 5.8 states/eV/f.u.

Cell lengths 8.497, 8.497, 6.499 Å; angles 49.18, 49.18, 90.00 degrees
Last column: magnetic moment on the atom in μB.
Positions (direct):
Re1 0.591 0.125 0.250  0.36
Re2 0.159 0.625 0.250  0.36
Re3 0.375 0.409 0.750  0.36
Re4 0.875 0.841 0.750  0.36
Na1 0.500 0.500 0.000  0.00
Na2 0.250 0.750 0.500  0.00
Sr1 0.000 0.000 0.000  0.00
Sr2 0.750 0.250 0.500  0.00

# Na2TaRe

Crystalline Na2TaRe at its relaxed geometry (PBE, Alexandria).

Summary:
DOS at the Fermi energy = 3.3 states/eV/f.u.

Cell lengths 4.686, 4.686, 4.686 Å; angles 60.00, 60.00, 60.00 degrees
Positions (direct):
Re1 0.500 0.500 0.500
Na1 0.250 0.250 0.250
Na2 0.750 0.750 0.750
Ta1 0.000 0.000 0.000

# NaTaRe2

Crystalline NaTaRe2 at its relaxed geometry (PBE, Alexandria).

Summary:
DOS at the Fermi energy = 4.1 states/eV/f.u.

Cell lengths 7.370, 7.370, 5.868 Å; angles 51.10, 51.10, 90.00 degrees
Positions (direct):
Re1 0.646 0.125 0.250
Re2 0.104 0.625 0.250
Re3 0.375 0.354 0.750
Re4 0.875 0.896 0.750
Na1 0.500 0.500 0.000
Na2 0.250 0.750 0.500
Ta1 0.000 0.000 0.000
Ta2 0.750 0.250 0.500

# Na3TaRe

Crystalline Na3TaRe at its relaxed geometry (PBE, Alexandria).

Summary:
DOS at the Fermi energy = 10.8 states/eV/f.u.

Cell lengths 5.463, 5.463, 5.463 Å; angles 90.00, 90.00, 90.00 degrees
Last column: magnetic moment on the atom in μB.
Positions (direct):
Re1 0.000 0.000 0.000  -2.90
Na1 0.000 0.500 0.000  -0.01
Na2 0.000 0.000 0.500  0.00
Na3 0.500 0.000 0.000  -0.02
Ta1 0.500 0.500 0.500  2.25

# Na2TaRe

Crystalline Na2TaRe at its relaxed geometry (PBE, Alexandria).

Summary:
DOS at the Fermi energy = 3.9 states/eV/f.u.

Cell lengths 8.325, 8.325, 6.388 Å; angles 49.34, 49.34, 90.00 degrees
Positions (direct):
Re1 0.000 0.000 0.000
Re2 0.750 0.250 0.500
Na1 0.642 0.125 0.250
Na2 0.108 0.625 0.250
Na3 0.375 0.358 0.750
Na4 0.875 0.892 0.750
Ta1 0.500 0.500 0.000
Ta2 0.250 0.750 0.500

# NaTaRe3

Crystalline NaTaRe3 at its relaxed geometry (PBE, Alexandria).

Summary:
DOS at the Fermi energy = 6.6 states/eV/f.u.

Cell lengths 4.846, 4.846, 4.846 Å; angles 90.00, 90.00, 90.00 degrees
Last column: magnetic moment on the atom in μB.
Positions (direct):
Re1 0.000 0.500 0.000  0.84
Re2 0.000 0.000 0.500  0.79
Re3 0.500 0.000 0.000  0.93
Na1 0.500 0.500 0.500  0.00
Ta1 0.000 0.000 0.000  -0.10

Computed size of the total moment, in the same sequence as the records: 0.23 0.00 0.00 0.10 0.00 0.56 μB/atom.
Computed energy of formation from the pure elements, in the same sequence as the records: 162.90 181.34 130.84 239.54 159.23 211.83 kJ per mole of atoms.
Computed ρ, in the same sequence as the records: 8.97 9.43 13.06 4.44 7.98 11.12 g/cm³.